! FeBrCl5, relaxed, DFT GGA-PBE; values from VASP
! - calculated density (g/cm3) = 1.7
! - E_form (uncorrected) (eV per atom) = -0.3491
! - DFT total energy (eV/cell) = -21.8
&SYSTEM
  ibrav = 0, nat = 7, ntyp = 3
/
ATOMIC_SPECIES
Cl 35.45 Cl.upf
Br 79.90 Br.upf
Fe 55.84 Fe.upf
ATOMIC_POSITIONS crystal
Cl 0.482 0.706 0.706
Cl 0.471 0.711 0.289
Cl 0.471 0.289 0.711
Cl 0.893 0.294 0.294
Cl 0.997 0.500 0.500
Br 0.515 0.000 0.000
Fe 0.701 0.500 0.500
CELL_PARAMETERS angstrom
-3.466 4.114 4.863
-1.968 -3.096 6.622
3.877 2.625 5.949